(1)
The following is a DFT calculation (GGA-PBE) of a geometry-optimized Sm12Si3C5 structure.

abc: 13.7560 13.7560 13.7560
angles: 109.47 109.47 109.47
Element x y z (fractional)
Si  0.7500  0.3750  0.1250
Si  0.8750  0.7500  0.1250
Si  0.3750  0.7500  0.6250
Si  0.2500  0.1250  0.3750
Si  0.8750  0.1250  0.2500
Si  0.3750  0.6250  0.2500
Si  0.6250  0.3750  0.7500
Si  0.1250  0.8750  0.7500
Si  0.7500  0.8750  0.6250
Si  0.6250  0.2500  0.3750
Si  0.1250  0.2500  0.8750
Si  0.2500  0.6250  0.8750
C  0.1250  0.3750  0.2500
C  0.0000  0.5000  0.0000
C  0.0000  0.0000  0.0000
C  0.3750  0.2500  0.1250
C  0.5000  0.0000  0.5000
C  0.5000  0.5000  0.0000
C  0.1250  0.7500  0.3750
C  0.7500  0.1250  0.8750
C  0.7500  0.6250  0.3750
C  0.3750  0.1250  0.7500
C  0.6250  0.8750  0.2500
C  0.5000  0.5000  0.5000
C  0.5000  0.0000  0.0000
C  0.0000  0.0000  0.5000
C  0.2500  0.3750  0.6250
C  0.2500  0.8750  0.1250
C  0.0000  0.5000  0.5000
C  0.8750  0.2500  0.6250
C  0.6250  0.7500  0.8750
C  0.8750  0.6250  0.7500
Sm  0.7070  0.1208  0.0270
Sm  0.3200  0.5270  0.4062
Sm  0.9730  0.3792  0.2930
Sm  0.5270  0.2070  0.1208
Sm  0.5862  0.7070  0.6800
Sm  0.9730  0.5938  0.1800
Sm  0.3200  0.7930  0.4138
Sm  0.0938  0.9138  0.1208
Sm  0.5938  0.9730  0.6800
Sm  0.7070  0.5862  0.1800
Sm  0.7930  0.4730  0.3792
Sm  0.8200  0.9062  0.0270
Sm  0.1208  0.7070  0.5270
Sm  0.3792  0.4062  0.0862
Sm  0.0862  0.9062  0.3792
Sm  0.4138  0.1208  0.5938
Sm  0.0862  0.1800  0.2070
Sm  0.4730  0.6800  0.0938
Sm  0.8200  0.9138  0.2930
Sm  0.1208  0.4138  0.0938
Sm  0.3792  0.9730  0.7930
Sm  0.5938  0.6208  0.4138
Sm  0.9062  0.8200  0.5270
Sm  0.7930  0.3200  0.9138
Sm  0.4062  0.3792  0.5862
Sm  0.0938  0.1800  0.4730
Sm  0.2070  0.6800  0.0862
Sm  0.1800  0.0862  0.7070
Sm  0.6208  0.0270  0.2070
Sm  0.8792  0.5862  0.9062
Sm  0.5270  0.3200  0.9062
Sm  0.5862  0.8792  0.4062
Sm  0.9138  0.8200  0.7930
Sm  0.9138  0.0938  0.6208
Sm  0.8792  0.2930  0.4730
Sm  0.1800  0.0938  0.9730
Sm  0.6208  0.5938  0.9138
Sm  0.4062  0.0270  0.3200
Sm  0.2930  0.4138  0.8200
Sm  0.2070  0.5270  0.6208
Sm  0.9062  0.0862  0.8792
Sm  0.6800  0.2070  0.5862
Sm  0.4730  0.7930  0.8792
Sm  0.0270  0.4062  0.8200
Sm  0.4138  0.2930  0.3200
Sm  0.0270  0.6208  0.7070
Sm  0.6800  0.4730  0.5938
Sm  0.2930  0.8792  0.9730

Values from the calculation:
- Electronic total energy: -493.6 eV per cell
- SG: No. 230
- ΔE_f (raw): -0.2196 eV/atom

---

(2)
The following is a DFT calculation (GGA-PBE) of a geometry-optimized Sm6Si3C structure.

abc: 8.2775 8.2775 8.2775
angles: 96.80 96.80 96.80
Element x y z (fractional)
Sm  0.3038  0.9568  0.0741
Sm  0.0432  0.9259  0.6962
Sm  0.5691  0.7942  0.4417
Sm  0.9259  0.6962  0.0432
Sm  0.4417  0.5691  0.7942
Sm  0.2058  0.5583  0.4309
Sm  0.7942  0.4417  0.5691
Sm  0.5583  0.4309  0.2058
Sm  0.0741  0.3038  0.9568
Sm  0.4309  0.2058  0.5583
Sm  0.9568  0.0741  0.3038
Sm  0.6962  0.0432  0.9259
Si  0.3927  0.8919  0.7190
Si  0.8919  0.7190  0.3927
Si  0.2810  0.6073  0.1081
Si  0.7190  0.3927  0.8919
Si  0.1081  0.2810  0.6073
Si  0.6073  0.1081  0.2810
C  0.0000  0.0000  0.0000
C  0.5000  0.5000  0.5000

Values from the calculation:
- Electronic total energy: -115.1 eV per cell
- SG: No. 148
- ΔE_f (raw): -0.3730 eV/atom

---

> The lowest ΔE_f (raw) belongs to which entry?

Sm6Si3C